No. 1
LiCa2Mn | GGA-PBE | relaxed

Summary:
V: 28.00 Å³ per atom
total DFT energy (no corrections): -3.414 eV per atom
formation energy: 0.358 eV/atom

Cell lengths 6.144, 6.144, 6.144 Å; angles 135.58, 135.58, 64.62 degrees
Fractional positions:
Ca  0.000  0.000  0.000
Ca  0.250  0.750  0.500
Li  0.500  0.500  0.000
Mn  0.750  0.250  0.500

No. 2
Pm4TlBi3O12 | GGA-PBE | relaxed

Summary:
uncorrected formation energy: -41.0 eV per formula unit
V: 17.04 Å³ per atom
total DFT energy (no corrections): -6.675 eV per atom

Cell lengths 7.622, 7.622, 7.622 Å; angles 109.47, 109.47, 109.47 degrees
Fractional positions:
Pm  0.500  0.000  0.000
Pm  0.500  0.500  0.500
Pm  0.000  0.500  0.000
Pm  0.000  0.000  0.500
Tl  0.000  0.000  0.000
Bi  0.000  0.500  0.500
Bi  0.500  0.500  0.000
Bi  0.500  0.000  0.500
O  0.319  0.818  0.137
O  0.681  0.182  0.863
O  0.681  0.818  0.498
O  0.863  0.681  0.182
O  0.818  0.137  0.319
O  0.182  0.502  0.319
O  0.502  0.319  0.182
O  0.182  0.863  0.681
O  0.319  0.182  0.502
O  0.137  0.319  0.818
O  0.818  0.498  0.681
O  0.498  0.681  0.818

No. 3
V2Ni2Pd5 | GGA-PBE | relaxed

Summary:
V: 14.12 Å³ per atom
total DFT energy (no corrections): -6.292 eV per atom
formation energy: -0.096 eV/atom

Cell lengths 2.713, 4.625, 10.611 Å; angles 87.16, 90.00, 107.06 degrees
Fractional positions:
V  0.556  0.112  0.773
V  0.444  0.888  0.227
Ni  0.849  0.698  0.676
Ni  0.151  0.302  0.324
Pd  0.722  0.444  0.121
Pd  0.278  0.556  0.879
Pd  0.872  0.743  0.431
Pd  0.128  0.257  0.569
Pd  0.000  0.000  0.000